Record 1
The following is a PBE calculation of a geometry-optimized PmNiGeSb structure, from Alexandria via LeMat-Bulk.

- SG = F-43m (216)
- uncorrected formation energy (meV/atom) = -180

Geometry as POSCAR:
```
PmNiGeSb
1.0
4.925 0.000 0.000
2.463 4.266 0.000
2.463 1.422 4.022
Ge Ni Pm Sb
1 1 1 1
direct
0.250 0.250 0.250
0.750 0.750 0.750
0.500 0.500 0.500
0.000 0.000 0.000
```

=====

Record 2
The following is a PBE calculation of a geometry-optimized MnAlCo2H structure, from Alexandria via LeMat-Bulk.

- SG = P4/mmm (123)
- distance to the lowest polymorph of the same formula (eV/f.u.) = 0.854

Geometry as POSCAR:
```
MnAlCo2H
1.0
3.690 0.000 0.000
0.000 3.690 0.000
0.000 0.000 3.646
Al Co H Mn
1 2 1 1
direct
0.000 0.000 0.500
0.000 0.500 0.000
0.500 0.000 0.000
0.000 0.000 0.000
0.500 0.500 0.500
```

=====

Record 3
The following is a PBE calculation of a geometry-optimized RbSi2SbO8 structure, from Alexandria via LeMat-Bulk.

- SG = C2/m (12)
- uncorrected formation energy (meV/atom) = -1941

Geometry as POSCAR:
```
RbSi2SbO8
1.0
5.127 -0.131 0.703
2.249 4.610 0.703
1.619 0.983 7.542
O Rb Si Sb
8 1 2 1
direct
0.584 0.584 0.420
0.224 0.713 0.194
0.287 0.776 0.806
0.761 0.761 0.061
0.416 0.416 0.580
0.776 0.287 0.806
0.713 0.224 0.194
0.239 0.239 0.939
0.000 0.000 0.500
0.431 0.431 0.795
0.569 0.569 0.205
0.000 0.000 0.000
```

=====

For the records above, the corresponding DOS(E_F) values read 4.2, 4.1, 0.0 states/eV per cell.
For the records above, the corresponding final energy values read -20.0, -30.8, -78.9 eV per cell.